Density functional theory data (GGA+U) for a geometry-optimized Pr2AlMoO6 structure.

Properties
- total DFT energy (no corrections) (Ry per atom) = -0.579
- size of the total moment (μB/atom) = 0.300

Cell lengths 5.546, 5.681, 7.914 Å; angles 90.00, 90.35, 90.00 degrees
Each line ends with the local moment (μB).
Fractional coordinates of all 20 atoms:
O 0.307 0.721 0.449  0.03
O 0.722 0.305 0.954  0.03
O 0.590 0.027 0.264  0.03
O 0.778 0.805 0.546  0.03
O 0.090 0.473 0.764  0.03
O 0.807 0.779 0.949  0.03
O 0.222 0.195 0.454  0.03
O 0.910 0.527 0.236  0.03
O 0.693 0.279 0.551  0.03
O 0.193 0.221 0.051  0.03
O 0.278 0.695 0.046  0.03
O 0.410 0.973 0.736  0.03
Mo 0.000 0.500 0.500  2.63
Mo 0.500 0.000 0.000  2.63
Pr 0.487 0.452 0.250  0.01
Pr 0.513 0.548 0.750  0.01
Pr 0.987 0.048 0.750  0.01
Pr 0.013 0.952 0.250  0.01
Al 0.000 0.500 0.000  0.00
Al 0.500 0.000 0.500  0.00